10
Lattice="7.791 0.000 0.000 0.000 7.791 0.000 0.000 0.000 3.965" Properties=species:S:1:pos:R:3 comment="PBE LiCa2Se2, relaxed" dos_ef_per_ev_fu=0.84 raw_formation_energy_ev_per_atom=-1.440 space_group=P4/mbm e_tot_ev_per_atom=-4.02 vol_a3_per_cell=240.7 pbc="T T T"
Ca 1.193 5.088 1.982
Ca 5.088 6.599 1.982
Ca 6.599 2.703 1.982
Ca 2.703 1.193 1.982
Se 2.662 6.557 0.000
Se 6.557 5.130 0.000
Se 5.130 1.234 0.000
Se 1.234 2.662 0.000
Li 0.000 0.000 0.000
Li 3.896 3.896 0.000